Record 1
The following is a DFT calculation (GGA-PBEsol) of crystalline NdMoO4F at its relaxed geometry.

## Properties
Uncorrected energy (eV/atom): -8.525
Spin magnetization (μB per cell): 0.001
Space group: P2_1/c (14)
E_form (uncorrected) (eV per formula unit): -19.8

Unit cell a=6.8624 b=6.5141 c=9.9573 alpha=90.00 beta=115.47 gamma=90.00
Last column: nearest neighbours and their distance in Å.
Positions (direct):
Nd 0.1976 0.1274 0.4228  2 F 2.34-2.35, 6 O 2.40-2.51
Nd 0.1976 0.3726 0.9228  2 F 2.34-2.35, 6 O 2.40-2.51
Nd 0.8024 0.6274 0.0772  2 F 2.34-2.35, 6 O 2.40-2.51
Nd 0.8024 0.8726 0.5772  2 F 2.34-2.35, 6 O 2.40-2.51
Mo 0.3319 0.6359 0.6667  4 O 1.73-1.82
Mo 0.3319 0.8641 0.1667  4 O 1.73-1.82
Mo 0.6681 0.1359 0.8333  4 O 1.73-1.82
Mo 0.6681 0.3641 0.3333  4 O 1.73-1.82
O 0.1656 0.6410 0.0821  1 Mo 1.82
O 0.1656 0.8590 0.5821  1 Mo 1.82
O 0.2139 0.0986 0.0888  1 Mo 1.75
O 0.2139 0.4014 0.5888  1 Mo 1.75
O 0.4409 0.6071 0.8651  1 Mo 1.80
O 0.4409 0.8929 0.3651  1 Mo 1.80
O 0.4458 0.1606 0.8710  1 Mo 1.73
O 0.4458 0.3394 0.3710  1 Mo 1.73
O 0.5542 0.6606 0.6290  1 Mo 1.73
O 0.5542 0.8394 0.1290  1 Mo 1.73
O 0.5591 0.1071 0.6349  1 Mo 1.80
O 0.5591 0.3929 0.1349  1 Mo 1.80
O 0.7861 0.5986 0.4112  1 Mo 1.75
O 0.7861 0.9014 0.9112  1 Mo 1.75
O 0.8344 0.1410 0.4179  1 Mo 1.82
O 0.8344 0.3590 0.9179  1 Mo 1.82
F 0.0186 0.6163 0.7366  2 Nd 2.34-2.35, 1 Mo 2.53, 1 O 2.62
F 0.0186 0.8837 0.2366  2 Nd 2.34-2.35, 1 Mo 2.53, 1 O 2.62
F 0.9814 0.1163 0.7634  2 Nd 2.34-2.35, 1 Mo 2.53, 1 O 2.62
F 0.9814 0.3837 0.2634  2 Nd 2.34-2.35, 1 Mo 2.53, 1 O 2.62



Record 2
The following is a DFT calculation (GGA-PBEsol) of crystalline NiMoF3 at its relaxed geometry.

## Properties
Uncorrected energy (eV/atom): -5.293
Spin magnetization (μB per cell): 6.442
Space group: Pm-3m (221)
E_form (uncorrected) (eV per formula unit): -2.8

Unit cell a=3.9900 b=3.9900 c=3.9900 alpha=90.00 beta=90.00 gamma=90.00
Last column: nearest neighbours and their distance in Å.
Positions (direct):
Ni 0.0000 0.0000 0.0000  6 F 1.99
Mo 0.5000 0.5000 0.5000  12 F 2.82
F 0.0000 0.0000 0.5000  2 Ni 1.99
F 0.0000 0.5000 0.0000  2 Ni 1.99
F 0.5000 0.0000 0.0000  2 Ni 1.99